VASP calculation (GGA-PBE) on an optimized crystal structure of ScTl2Pt.

Energy relative to the elements   -202 meV per atom
V   20.89 Å³/atom
Crystal system   cubic
Density of states at the Fermi level   0.97 states/eV/atom

Cell lengths 6.9399, 6.9399, 6.9399 Å; angles 90.00, 90.00, 90.00 degrees
Closest atoms and distances in Å follow each position.
Space group Fm-3m (No. 225)
Symmetry-distinct sites (fractional):
Sc  0.0000  0.0000  0.0000 (multiplicity 4)  8 Tl 3.01
Tl  0.2500  0.2500  0.2500 (multiplicity 8)  4 Sc 3.01, 4 Pt 3.01
Pt  0.0000  0.0000  0.5000 (multiplicity 4)  8 Tl 3.01